The following is a meta-GGA SCAN calculation of a PBEsol-optimized structure of CdFe2Cu, from the Alexandria database.

## Properties
Fermi-level density of states = 2.0 states/eV/cell
Formation enthalpy at 0 K = 0.225 eV per atom
Size of the total moment = 5.33 μB/cell

Unit cell a=4.208 b=4.208 c=4.208 alpha=60.00 beta=60.00 gamma=60.00
Positions (direct):
Cd  0.500  0.500  0.500
Fe  0.250  0.250  0.250
Fe  0.000  0.000  0.000
Cu  0.750  0.750  0.750

---

The following is a meta-GGA SCAN calculation of a PBEsol-optimized structure of Mn2PdCl, from the Alexandria database.

## Properties
Fermi-level density of states = 2.7 states/eV/cell
Raw formation energy = -0.07 eV per atom
Size of the total moment = 8.78 μB/cell

Unit cell a=4.447 b=4.447 c=4.447 alpha=60.00 beta=60.00 gamma=60.00
Positions (direct):
Mn  0.250  0.250  0.250
Mn  0.750  0.750  0.750
Pd  0.500  0.500  0.500
Cl  0.000  0.000  0.000

---

The following is a meta-GGA SCAN calculation of a PBEsol-optimized structure of Ba2NaInSb, from the Alexandria database.

## Properties
Fermi-level density of states = 5.0 states/eV/cell
Raw formation energy = -0.35 eV per atom
Size of the total moment = 0.84 μB/cell

Unit cell a=5.604 b=6.600 c=6.600 alpha=90.00 beta=90.00 gamma=90.00
Positions (direct):
Ba  0.000  0.500  0.000
Ba  0.000  0.000  0.500
In  0.500  0.500  0.500
Sb  0.000  0.000  0.000
Na  0.500  0.000  0.000